Density functional theory data (PBE+U) for crystalline SrMoAsH3O8 at its relaxed geometry.

Calculated values
Symmetry ... C2/c (15)
Final energy ... -6.072 eV/atom

Cell: 9.493 9.493 10.262 Å, 116.98 116.98 67.38°
Sites, in units of the cell vectors:
Sr1 0.162 0.695 0.890
Sr2 0.305 0.838 0.610
Sr3 0.695 0.162 0.390
Sr4 0.838 0.305 0.110
Mo1 0.254 0.426 0.222
Mo2 0.426 0.254 0.722
Mo3 0.574 0.746 0.278
Mo4 0.746 0.574 0.778
As1 0.098 0.282 0.811
As2 0.282 0.098 0.311
As3 0.718 0.902 0.689
As4 0.902 0.718 0.189
H1 0.045 0.237 0.444
H2 0.106 0.617 0.528
H3 0.146 0.758 0.276
H4 0.237 0.045 0.944
H5 0.242 0.854 0.224
H6 0.383 0.894 0.972
H7 0.617 0.106 0.028
H8 0.758 0.146 0.776
H9 0.763 0.955 0.056
H10 0.854 0.242 0.724
H11 0.894 0.383 0.472
H12 0.955 0.763 0.556
O1 0.023 0.474 0.805
O2 0.060 0.826 0.325
O3 0.074 0.722 0.603
O4 0.144 0.258 0.982
O5 0.167 0.252 0.237
O6 0.174 0.940 0.175
O7 0.222 0.570 0.138
O8 0.252 0.167 0.737
O9 0.258 0.144 0.482
O10 0.278 0.926 0.897
O11 0.287 0.546 0.421
O12 0.301 0.449 0.726
O13 0.430 0.778 0.362
O14 0.449 0.301 0.226
O15 0.454 0.713 0.079
O16 0.474 0.023 0.305
O17 0.526 0.977 0.695
O18 0.546 0.287 0.921
O19 0.551 0.699 0.774
O20 0.570 0.222 0.638
O21 0.699 0.551 0.274
O22 0.713 0.454 0.579
O23 0.722 0.074 0.103
O24 0.742 0.856 0.518
O25 0.748 0.833 0.263
O26 0.778 0.430 0.862
O27 0.826 0.060 0.825
O28 0.833 0.748 0.763
O29 0.856 0.742 0.018
O30 0.926 0.278 0.397
O31 0.940 0.174 0.675
O32 0.977 0.526 0.195